[1]
Pr2Ga2Pt: relaxed, PBE-GGA.

For the calculated formation energy, the calculation gives -822 meV per atom. The final energy comes out at -103.05 eV/cell.

The space group is C2/m (No. 12) and the conventional cell measures 11.010, 4.460 and 10.917 Å, with angles of 90.00, 117.39 and 90.00 degrees. The asymmetric unit holds Pr at (0.008, 0.000, 0.330), Pr at (0.192, 0.000, 0.120), Ga at (0.020, 0.500, 0.888), Ga at (0.152, 0.500, 0.552) and Pt at (0.225, 0.500, 0.340).



[2]
NaIn2Pb: relaxed, PBE-GGA.

For the calculated formation energy, the calculation gives -82 meV per atom. The final energy comes out at -43.33 eV/cell.

The space group is Pnma (No. 62) and the conventional cell measures 8.047, 5.044 and 11.598 Å, with angles of 90.00, 90.00 and 90.00 degrees. The asymmetric unit holds Na at (0.223, 0.250, 0.180), In at (0.051, 0.750, 0.424), In at (0.080, 0.250, 0.816) and Pb at (0.166, 0.750, 0.971).